(1)
Compound: Sc2CdCuPd4
Source: the Alexandria database
Functional: PBE
Structure: relaxed

## Properties
V (Å³/atom): 16.82
Energy relative to the elements (eV per atom): -0.668
SG: R-3m (166)

a b c (Å): 4.5651 4.5651 7.9068
angles (deg): 73.22 73.22 60.00
With the nearest neighbours (Å) after each atom.
Element x y z (fractional)
Sc: 0.7525 0.7525 0.7425  8 Pd 2.68-2.96
Sc: 0.2475 0.2475 0.2575  8 Pd 2.68-2.96
Cd: 0.0000 0.0000 0.0000  8 Pd 2.83-2.85
Cu: 0.5000 0.5000 0.5000  8 Pd 2.69-2.78
Pd: 0.3798 0.3798 0.8606  1 Cu 2.69, 4 Sc 2.78-2.96, 3 Cd 2.83
Pd: 0.8725 0.8725 0.3824  4 Sc 2.68-2.80, 3 Cu 2.78, 1 Cd 2.85
Pd: 0.1275 0.1275 0.6176  4 Sc 2.68-2.80, 3 Cu 2.78, 1 Cd 2.85
Pd: 0.6202 0.6202 0.1394  1 Cu 2.69, 4 Sc 2.78-2.96, 3 Cd 2.83

---

(2)
Compound: PmZnSi2
Source: the Alexandria database
Functional: PBE
Structure: relaxed

## Properties
V (Å³/atom): 20.88
Energy relative to the elements, uncorrected (kJ/mol of formula units): -74
SG: Cmmm (65)

a b c (Å): 3.8942 4.9184 4.9184
angles (deg): 117.54 90.00 90.00
With the nearest neighbours (Å) after each atom.
Element x y z (fractional)
Pm: 0.0000 0.0537 0.9463  8 Si 3.14, 4 Zn 3.21
Zn: 0.5000 0.5538 0.4462  4 Si 2.46
Si: 0.5000 0.0537 0.4461  2 Zn 2.46, 2 Si 2.55
Si: 0.5000 0.5539 0.9463  2 Zn 2.46, 2 Si 2.55

---

Please write out number 2 again, unchanged.
Compound: PmZnSi2
Source: the Alexandria database
Functional: PBE
Structure: relaxed

## Properties
V (Å³/atom): 20.88
Energy relative to the elements, uncorrected (kJ/mol of formula units): -74
SG: Cmmm (65)

a b c (Å): 3.8942 4.9184 4.9184
angles (deg): 117.54 90.00 90.00
With the nearest neighbours (Å) after each atom.
Element x y z (fractional)
Pm: 0.0000 0.0537 0.9463  8 Si 3.14, 4 Zn 3.21
Zn: 0.5000 0.5538 0.4462  4 Si 2.46
Si: 0.5000 0.0537 0.4461  2 Zn 2.46, 2 Si 2.55
Si: 0.5000 0.5539 0.9463  2 Zn 2.46, 2 Si 2.55

---

- The highest V belongs to which entry?
  PmZnSi2